i.
The following is a DFT calculation (GGA-PBE) of a relaxed structure of Cu5Ag4.

a b c (Å): 14.068 14.068 14.068
angles (deg): 168.29 166.58 17.85
Fractional coordinates of all 9 atoms:
1 Cu 0.000 0.000 0.000
2 Cu 0.092 0.092 0.000
3 Cu 0.453 0.453 0.000
4 Cu 0.547 0.547 0.000
5 Cu 0.908 0.908 0.000
6 Ag 0.216 0.216 0.000
7 Ag 0.351 0.351 0.000
8 Ag 0.649 0.649 0.000
9 Ag 0.784 0.784 0.000


ii.
The following is a DFT calculation (GGA-PBE) of a relaxed structure of Cu5Ag4.

a b c (Å): 7.067 7.067 7.779
angles (deg): 119.09 119.09 23.14
Fractional coordinates of all 9 atoms:
1 Cu 0.000 0.000 0.000
2 Cu 0.193 0.193 0.291
3 Cu 0.537 0.537 0.294
4 Cu 0.649 0.649 0.981
5 Cu 0.739 0.739 0.590
6 Ag 0.089 0.089 0.634
7 Ag 0.316 0.316 0.939
8 Ag 0.418 0.418 0.662
9 Ag 0.865 0.865 0.296


iii.
The following is a DFT calculation (GGA-PBE) of a relaxed structure of Cu5Ag4.

a b c (Å): 6.054 6.054 6.124
angles (deg): 107.04 107.04 37.96
Fractional coordinates of all 9 atoms:
1 Cu 0.000 0.000 0.000
2 Cu 0.218 0.218 0.309
3 Cu 0.331 0.331 0.005
4 Cu 0.669 0.669 0.995
5 Cu 0.782 0.782 0.691
6 Ag 0.120 0.120 0.674
7 Ag 0.439 0.439 0.681
8 Ag 0.561 0.561 0.319
9 Ag 0.880 0.880 0.326


Most stable to least stable, the ends of the list are i and iii.


i.
The following is a DFT calculation (GGA-PBE) of a relaxed structure of Cu5Ag4.

a b c (Å): 7.125 7.125 6.717
angles (deg): 92.72 92.72 22.69
Fractional coordinates of all 9 atoms:
1 Cu 0.000 0.000 0.000
2 Cu 0.118 0.118 0.660
3 Cu 0.228 0.228 0.346
4 Cu 0.772 0.772 0.654
5 Cu 0.882 0.882 0.340
6 Ag 0.337 0.337 0.006
7 Ag 0.445 0.445 0.667
8 Ag 0.555 0.555 0.333
9 Ag 0.663 0.663 0.994


ii.
The following is a DFT calculation (GGA-PBE) of a relaxed structure of Cu5Ag4.

a b c (Å): 16.741 16.741 16.741
angles (deg): 170.42 170.42 13.56
Fractional coordinates of all 9 atoms:
1 Cu 0.000 0.000 0.000
2 Cu 0.093 0.093 0.000
3 Cu 0.339 0.339 0.000
4 Cu 0.547 0.547 0.000
5 Cu 0.885 0.885 0.000
6 Ag 0.216 0.216 0.000
7 Ag 0.443 0.443 0.000
8 Ag 0.651 0.651 0.000
9 Ag 0.782 0.782 0.000


Most stable to least stable, the ends of the list are ii and i.


i.
The following is a DFT calculation (GGA-PBE) of a relaxed structure of BaTaRe.

a b c (Å): 4.758 4.758 4.758
angles (deg): 60.00 60.00 60.00
Fractional coordinates of all 3 atoms:
1 Ba 0.000 0.000 0.000
2 Ta 0.500 0.500 0.500
3 Re 0.250 0.250 0.250


ii.
The following is a DFT calculation (GGA-PBE) of a relaxed structure of BaTaRe.

a b c (Å): 4.680 4.680 4.680
angles (deg): 60.00 60.00 60.00
Fractional coordinates of all 3 atoms:
1 Ba 0.000 0.000 0.000
2 Ta 0.250 0.250 0.250
3 Re 0.750 0.750 0.750


Most stable to least stable, the ends of the list are i and ii.